Density functional theory data (PBE) for a relaxed Pr2InGa3Pt4 crystal.

Space group: No. 115
E_form in kJ/mol of atoms: -87.3

a b c (Å): 4.2051 4.2051 11.4291
angles (deg): 90.00 90.00 90.00
Fractional positions:
Pr1 0.0000 0.5000 0.2424
Pr2 0.5000 0.0000 0.7576
In1 0.0000 0.0000 0.5000
Ga1 0.0000 0.5000 0.8722
Ga2 0.5000 0.0000 0.1278
Ga3 0.5000 0.5000 0.5000
Pt1 0.0000 0.0000 0.0000
Pt2 0.0000 0.5000 0.6527
Pt3 0.5000 0.0000 0.3473
Pt4 0.5000 0.5000 0.0000


Density functional theory data (PBE) for a relaxed Pr2InGa4Pt3 crystal.

Space group: No. 115
E_form in kJ/mol of atoms: -82.0

a b c (Å): 4.3455 4.3455 10.7875
angles (deg): 90.00 90.00 90.00
Fractional positions:
Pr1 0.0000 0.5000 0.2378
Pr2 0.5000 0.0000 0.7622
In1 0.0000 0.0000 0.5000
Ga1 0.0000 0.0000 0.0000
Ga2 0.0000 0.5000 0.6477
Ga3 0.5000 0.0000 0.3523
Ga4 0.5000 0.5000 0.0000
Pt1 0.0000 0.5000 0.8758
Pt2 0.5000 0.0000 0.1242
Pt3 0.5000 0.5000 0.5000


Density functional theory data (PBE) for a relaxed PrPuInGa crystal.

Space group: No. 216
E_form in kJ/mol of atoms: -26.8

a b c (Å): 5.3324 5.3324 5.3324
angles (deg): 60.00 60.00 60.00
Fractional positions:
Pr1 0.0000 0.0000 0.0000
Pu1 0.5000 0.5000 0.5000
In1 0.2500 0.2500 0.2500
Ga1 0.7500 0.7500 0.7500


Density functional theory data (PBE) for a relaxed Pr2In2GaRh5 crystal.

Space group: No. 127
E_form in kJ/mol of atoms: -41.5

a b c (Å): 10.4046 10.4046 3.5771
angles (deg): 90.00 90.00 90.00
Fractional positions:
Pr1 0.1686 0.3314 0.0000
Pr2 0.3314 0.8314 0.0000
Pr3 0.6686 0.1686 0.0000
Pr4 0.8314 0.6686 0.0000
In1 0.1320 0.6320 0.0000
In2 0.3680 0.1320 0.0000
In3 0.6320 0.8680 0.0000
In4 0.8680 0.3680 0.0000
Ga1 0.0000 0.0000 0.0000
Ga2 0.5000 0.5000 0.0000
Rh1 0.0000 0.5000 0.5000
Rh2 0.0511 0.8097 0.5000
Rh3 0.1903 0.0511 0.5000
Rh4 0.3097 0.5511 0.5000
Rh5 0.4489 0.3097 0.5000
Rh6 0.5000 0.0000 0.5000
Rh7 0.5511 0.6903 0.5000
Rh8 0.6903 0.4489 0.5000
Rh9 0.8097 0.9489 0.5000
Rh10 0.9489 0.1903 0.5000


Density functional theory data (PBE) for a relaxed Pr2InGa2Rh5 crystal.

Space group: No. 127
E_form in kJ/mol of atoms: -67.2

a b c (Å): 10.0204 10.0204 3.6411
angles (deg): 90.00 90.00 90.00
Fractional positions:
Pr1 0.1762 0.3238 0.0000
Pr2 0.3238 0.8238 0.0000
Pr3 0.6762 0.1762 0.0000
Pr4 0.8238 0.6762 0.0000
In1 0.0000 0.0000 0.0000
In2 0.5000 0.5000 0.0000
Ga1 0.1214 0.6214 0.0000
Ga2 0.3786 0.1214 0.0000
Ga3 0.6214 0.8786 0.0000
Ga4 0.8786 0.3786 0.0000
Rh1 0.0000 0.5000 0.5000
Rh2 0.0673 0.7892 0.5000
Rh3 0.2108 0.0673 0.5000
Rh4 0.2892 0.5673 0.5000
Rh5 0.4327 0.2892 0.5000
Rh6 0.5000 0.0000 0.5000
Rh7 0.5673 0.7108 0.5000
Rh8 0.7108 0.4327 0.5000
Rh9 0.7892 0.9327 0.5000
Rh10 0.9327 0.2108 0.5000


Density functional theory data (PBE) for a relaxed PrIn2GaRh2 crystal.

Space group: No. 123
E_form in kJ/mol of atoms: -39.7

a b c (Å): 4.6887 4.6887 6.0271
angles (deg): 90.00 90.00 90.00
Fractional positions:
Pr1 0.0000 0.0000 0.0000
In1 0.5000 0.5000 0.2406
In2 0.5000 0.5000 0.7594
Ga1 0.0000 0.0000 0.5000
Rh1 0.0000 0.5000 0.5000
Rh2 0.5000 0.0000 0.5000


Density functional theory data (PBE) for a relaxed PrInGa2S6 crystal.

Space group: No. 15

a b c (Å): 8.6125 8.6125 7.2991
angles (deg): 107.82 107.82 79.86
Fractional positions:
Pr1 0.1612 0.8388 0.7500
Pr2 0.8388 0.1612 0.2500
In1 0.2058 0.7942 0.2500
In2 0.7942 0.2058 0.7500
Ga1 0.2520 0.3669 0.7930
Ga2 0.3669 0.2520 0.2930
Ga3 0.6331 0.7480 0.7070
Ga4 0.7480 0.6331 0.2070
S1 0.0594 0.1704 0.6446
S2 0.1068 0.6054 0.9218
S3 0.1704 0.0594 0.1446
S4 0.2792 0.4548 0.5354
S5 0.3946 0.8932 0.5782
S6 0.4548 0.2792 0.0354
S7 0.5452 0.7208 0.9646
S8 0.6054 0.1068 0.4218
S9 0.7208 0.5452 0.4646
S10 0.8296 0.9406 0.8554
S11 0.8932 0.3946 0.0782
S12 0.9406 0.8296 0.3554


Density functional theory data (PBE) for a relaxed PrScInGa crystal.

Space group: No. 216
E_form in kJ/mol of atoms: -44.0

a b c (Å): 5.1740 5.1740 5.1740
angles (deg): 60.00 60.00 60.00
Fractional positions:
Pr1 0.0000 0.0000 0.0000
Sc1 0.5000 0.5000 0.5000
In1 0.7500 0.7500 0.7500
Ga1 0.2500 0.2500 0.2500


Density functional theory data (PBE) for a relaxed PrSmInGa crystal.

E above lowest polymorph in eV/atom: 0.000
Space group: No. 99
E_form in kJ/mol of atoms: -50.3

a b c (Å): 3.7570 3.7570 7.6582
angles (deg): 90.00 90.00 90.00
Fractional positions:
Pr1 0.0000 0.0000 0.0000
Sm1 0.0000 0.0000 0.4729
In1 0.5000 0.5000 0.7294
Ga1 0.5000 0.5000 0.2452


Density functional theory data (PBE) for a relaxed PrSmInGa crystal.

E above lowest polymorph in eV/atom: 0.022
Space group: No. 216
E_form in kJ/mol of atoms: -48.2

a b c (Å): 5.3518 5.3518 5.3518
angles (deg): 60.00 60.00 60.00
Fractional positions:
Pr1 0.0000 0.0000 0.0000
Sm1 0.5000 0.5000 0.5000
In1 0.7500 0.7500 0.7500
Ga1 0.2500 0.2500 0.2500


Density functional theory data (PBE) for a relaxed PrInGaSn crystal.

Space group: No. 47
E_form in kJ/mol of atoms: -48.5

a b c (Å): 4.4886 4.6220 4.8555
angles (deg): 90.00 90.00 90.00
Fractional positions:
Pr1 0.0000 0.0000 0.0000
In1 0.0000 0.5000 0.5000
Ga1 0.5000 0.5000 0.0000
Sn1 0.5000 0.0000 0.5000


Density functional theory data (PBE) for a relaxed PrYInGa crystal.

E above lowest polymorph in eV/atom: 0.027
Space group: No. 216
E_form in kJ/mol of atoms: -49.1

a b c (Å): 5.3067 5.3067 5.3067
angles (deg): 60.00 60.00 60.00
Fractional positions:
Pr1 0.0000 0.0000 0.0000
Y1 0.5000 0.5000 0.5000
In1 0.7500 0.7500 0.7500
Ga1 0.2500 0.2500 0.2500


Density functional theory data (PBE) for a relaxed PrYInGa crystal.

E above lowest polymorph in eV/atom: 0.000
Space group: No. 99
E_form in kJ/mol of atoms: -51.7

a b c (Å): 3.7173 3.7173 7.6054
angles (deg): 90.00 90.00 90.00
Fractional positions:
Pr1 0.0000 0.0000 0.0000
Y1 0.0000 0.0000 0.4734
In1 0.5000 0.5000 0.7229
Ga1 0.5000 0.5000 0.2519


Density functional theory data (PBE) for a relaxed InGaPt3 crystal.

E above lowest polymorph in eV/atom: 0.000
Space group: No. 1
E_form in kJ/mol of atoms: -36.8

a b c (Å): 5.5680 5.5685 8.1955
angles (deg): 109.70 90.13 119.99
Fractional positions:
In1 0.0000 0.0000 0.0000
In2 0.2162 0.4324 0.6507
Ga1 0.4241 0.8469 0.2733
Ga2 0.5840 0.1708 0.7572
Pt1 0.0044 0.5077 0.0110
Pt2 0.1552 0.8348 0.5164
Pt3 0.5041 0.0080 0.0124
Pt4 0.5039 0.5081 0.0118
Pt5 0.6792 0.3587 0.5163
Pt6 0.6798 0.8360 0.5181


Density functional theory data (PBE) for a relaxed InGaPt3 crystal.

E above lowest polymorph in eV/atom: 1.337
Space group: No. 221
E_form in kJ/mol of atoms: 92.2

a b c (Å): 4.9954 4.9954 4.9954
angles (deg): 90.00 90.00 90.00
Fractional positions:
In1 0.0000 0.0000 0.0000
Ga1 0.5000 0.5000 0.5000
Pt1 0.0000 0.0000 0.5000
Pt2 0.0000 0.5000 0.0000
Pt3 0.5000 0.0000 0.0000


Density functional theory data (PBE) for a relaxed In2Ga6Pt crystal.

Space group: No. 12
E_form in kJ/mol of atoms: -10.4

a b c (Å): 6.2753 6.2753 5.4522
angles (deg): 98.52 98.52 63.08
Fractional positions:
In1 0.1409 0.1409 0.2008
In2 0.8591 0.8591 0.7992
Ga1 0.1711 0.6428 0.2961
Ga2 0.2864 0.2864 0.7253
Ga3 0.3572 0.8289 0.7039
Ga4 0.6428 0.1711 0.2961
Ga5 0.7136 0.7136 0.2747
Ga6 0.8289 0.3572 0.7039
Pt1 0.5000 0.5000 0.0000


Density functional theory data (PBE) for a relaxed InGa2Pt3 crystal.

Space group: No. 11
E_form in kJ/mol of atoms: -55.7

a b c (Å): 6.8601 4.0802 7.9874
angles (deg): 90.00 106.15 90.00
Fractional positions:
In1 0.0295 0.2500 0.3322
In2 0.9705 0.7500 0.6678
Ga1 0.2273 0.2500 0.9716
Ga2 0.4610 0.2500 0.6818
Ga3 0.5390 0.7500 0.3182
Ga4 0.7727 0.7500 0.0284
Pt1 0.1573 0.7500 0.1388
Pt2 0.2840 0.7500 0.5042
Pt3 0.3894 0.7500 0.8680
Pt4 0.6106 0.2500 0.1320
Pt5 0.7160 0.2500 0.4958
Pt6 0.8427 0.2500 0.8612


Density functional theory data (PBE) for a relaxed InGa2Pt2 crystal.

E above lowest polymorph in eV/atom: 0.056
Space group: No. 15
E_form in kJ/mol of atoms: -42.4

a b c (Å): 6.2957 6.2957 5.4804
angles (deg): 107.62 107.62 82.72
Fractional positions:
In1 0.1306 0.8694 0.7500
In2 0.8694 0.1306 0.2500
Ga1 0.1708 0.3971 0.8984
Ga2 0.3971 0.1708 0.3984
Ga3 0.6029 0.8292 0.6016
Ga4 0.8292 0.6029 0.1016
Pt1 0.1931 0.8069 0.2500
Pt2 0.4564 0.5436 0.7500
Pt3 0.5436 0.4564 0.2500
Pt4 0.8069 0.1931 0.7500


Density functional theory data (PBE) for a relaxed InGaPt crystal.

Space group: No. 2
E_form in kJ/mol of atoms: -42.5

a b c (Å): 5.0687 7.2010 7.2026
angles (deg): 76.12 74.59 74.57
Fractional positions:
In1 0.1956 0.4191 0.1704
In2 0.1968 0.9199 0.6687
In3 0.8032 0.0801 0.3313
In4 0.8044 0.5809 0.8296
Ga1 0.3735 0.3351 0.5860
Ga2 0.3745 0.8352 0.0845
Ga3 0.6255 0.1648 0.9155
Ga4 0.6265 0.6649 0.4140
Pt1 0.1097 0.1890 0.9398
Pt2 0.1115 0.6885 0.4378
Pt3 0.8885 0.3115 0.5622
Pt4 0.8903 0.8110 0.0602


Density functional theory data (PBE) for a relaxed InGaPt crystal.

Space group: No. 216
E_form in kJ/mol of atoms: -46.9

a b c (Å): 4.4261 4.4261 4.4261
angles (deg): 60.00 60.00 60.00
Fractional positions:
In1 0.0000 0.0000 0.0000
Ga1 0.5000 0.5000 0.5000
Pt1 0.7500 0.7500 0.7500


Density functional theory data (PBE) for a relaxed In2GaPt6 crystal.

Space group: No. 12
E_form in kJ/mol of atoms: -31.0

a b c (Å): 7.3256 7.3256 3.8341
angles (deg): 105.06 105.06 60.47
Fractional positions:
In1 0.1510 0.1510 0.1513
In2 0.8490 0.8490 0.8487
Ga1 0.5000 0.5000 0.5000
Pt1 0.1059 0.5595 0.3325
Pt2 0.2777 0.7223 0.0000
Pt3 0.4405 0.8941 0.6675
Pt4 0.5595 0.1059 0.3325
Pt5 0.7223 0.2777 0.0000
Pt6 0.8941 0.4405 0.6675


Density functional theory data (PBE) for a relaxed In2GaPt4 crystal.

Space group: No. 139
E_form in kJ/mol of atoms: 13.7

a b c (Å): 7.5773 7.5773 7.5773
angles (deg): 144.28 144.28 51.40
Fractional positions:
In1 0.1313 0.1313 0.0000
In2 0.8687 0.8687 0.0000
Ga1 0.5000 0.5000 0.0000
Pt1 0.0000 0.5000 0.5000
Pt2 0.3222 0.3222 0.0000
Pt3 0.5000 0.0000 0.5000
Pt4 0.6778 0.6778 0.0000


Density functional theory data (PBE) for a relaxed InGa2Pt2 crystal.

E above lowest polymorph in eV/atom: 0.115
Space group: No. 127
E_form in kJ/mol of atoms: -36.7

a b c (Å): 7.9397 7.9397 2.7759
angles (deg): 90.00 90.00 90.00
Fractional positions:
In1 0.0000 0.0000 0.0000
In2 0.5000 0.5000 0.0000
Ga1 0.1284 0.3716 0.0000
Ga2 0.3716 0.8716 0.0000
Ga3 0.6284 0.1284 0.0000
Ga4 0.8716 0.6284 0.0000
Pt1 0.1658 0.6658 0.5000
Pt2 0.3342 0.1658 0.5000
Pt3 0.6658 0.8342 0.5000
Pt4 0.8342 0.3342 0.5000


Density functional theory data (PBE) for a relaxed In3GaPt crystal.

E above lowest polymorph in eV/atom: 0.189
Space group: No. 221
E_form in kJ/mol of atoms: -3.7

a b c (Å): 5.1946 5.1946 5.1946
angles (deg): 90.00 90.00 90.00
Fractional positions:
In1 0.0000 0.0000 0.5000
In2 0.0000 0.5000 0.0000
In3 0.5000 0.0000 0.0000
Ga1 0.5000 0.5000 0.5000
Pt1 0.0000 0.0000 0.0000


| no. | total magnetization (μB/f.u.) | total energy (eV for the cell shown) |
| --- | --- | --- |
| 1 | 0.000 | -54.59 |
| 2 | 0.000 | -51.02 |
| 3 | 5.944 | -25.99 |
| 4 | 0.000 | -118.23 |
| 5 | 0.000 | -124.15 |
| 6 | 0.000 | -30.46 |
| 7 | 0.000 | -94.61 |
| 8 | 0.000 | -18.70 |
| 9 | 0.000 | -17.35 |
| 10 | 0.000 | -17.26 |
| 11 | 0.000 | -16.56 |
| 12 | 0.000 | -19.05 |
| 13 | 0.000 | -19.15 |
| 14 | 0.000 | -51.59 |
| 15 | 0.000 | -19.11 |
| 16 | 0.000 | -30.65 |
| 17 | 0.000 | -60.75 |
| 18 | 0.000 | -46.14 |
| 19 | 0.000 | -52.51 |
| 20 | 0.000 | -13.26 |
| 21 | 0.000 | -47.64 |
| 22 | 0.000 | -31.68 |
| 23 | 0.000 | -45.55 |
| 24 | 0.000 | -17.48 |